Entry 1:
Here is a relaxed structure of CdGeAu2F from the Alexandria database. Energies are from PBE-GGA.

As for the crystal system: tetragonal. The space group is P4/mmm (123). The calculated total energy is -16.118 eV for the cell shown. The volume comes out at 102.4 Å³ per cell. The calculation puts the magnetic moment at 0.00 μB/f.u.

a = 4.992 Å, b = 4.992 Å, c = 4.108 Å
α = 90.00°, β = 90.00°, γ = 90.00°
Atoms (fractional coordinates):
1 Cd 0.000 0.000 0.000
2 Ge 0.500 0.500 0.500
3 Au 0.000 0.500 0.500
4 Au 0.500 0.000 0.500
5 F 0.500 0.500 0.000

=====

Entry 2:
Here is a relaxed structure of CdH2AuF8 from the Alexandria database. Energies are from PBE-GGA.

As for the crystal system: triclinic. The space group is P-1 (2). The calculated total energy is -42.811 eV for the cell shown. The volume comes out at 161.9 Å³ per cell. The calculation puts the magnetic moment at 1.03 μB/f.u.

a = 4.780 Å, b = 5.045 Å, c = 6.965 Å
α = 82.04°, β = 89.98°, γ = 76.91°
Atoms (fractional coordinates):
1 Cd 0.000 0.000 0.000
2 H 0.269 0.465 0.846
3 H 0.731 0.535 0.154
4 Au 0.000 0.000 0.500
5 F 0.207 0.806 0.292
6 F 0.212 0.742 0.772
7 F 0.260 0.248 0.490
8 F 0.312 0.285 0.937
9 F 0.688 0.715 0.063
10 F 0.740 0.752 0.510
11 F 0.788 0.258 0.228
12 F 0.793 0.194 0.708

=====

Entry 3:
Here is a relaxed structure of CdIrAu2F from the Alexandria database. Energies are from PBE-GGA.

As for the crystal system: tetragonal. The space group is P4/mmm (123). The calculated total energy is -15.557 eV for the cell shown. The volume comes out at 90.8 Å³ per cell. The calculation puts the magnetic moment at 0.08 μB/f.u.

a = 4.590 Å, b = 4.590 Å, c = 4.309 Å
α = 90.00°, β = 90.00°, γ = 90.00°
Atoms (fractional coordinates):
1 Cd 0.000 0.000 0.000
2 Ir 0.500 0.500 0.000
3 Au 0.000 0.500 0.500
4 Au 0.500 0.000 0.500
5 F 0.000 0.000 0.500

=====

Entry 4:
Here is a relaxed structure of KCdAuF6 from the Alexandria database. Energies are from PBE-GGA.

As for the crystal system: triclinic. The space group is P1 (1). The calculated total energy is -32.769 eV for the cell shown. The volume comes out at 174.8 Å³ per cell. The calculation puts the magnetic moment at 0.00 μB/f.u.

a = 5.581 Å, b = 5.766 Å, c = 5.860 Å
α = 111.57°, β = 92.40°, γ = 92.84°
Atoms (fractional coordinates):
1 K 0.000 0.000 0.000
2 Cd 0.503 0.315 0.690
3 Au 0.503 0.673 0.329
4 F 0.231 0.030 0.634
5 F 0.328 0.653 0.020
6 F 0.329 0.365 0.329
7 F 0.675 0.674 0.632
8 F 0.679 0.988 0.349
9 F 0.779 0.377 0.967

=====

Entry 5:
Here is a relaxed structure of LiCd2AuF from the Alexandria database. Energies are from PBE-GGA.

As for the crystal system: tetragonal. The space group is P4/mmm (123). The calculated total energy is -9.530 eV for the cell shown. The volume comes out at 109.8 Å³ per cell. The calculation puts the magnetic moment at 0.00 μB/f.u.

a = 4.989 Å, b = 4.989 Å, c = 4.410 Å
α = 90.00°, β = 90.00°, γ = 90.00°
Atoms (fractional coordinates):
1 Li 0.000 0.000 0.000
2 Cd 0.000 0.500 0.000
3 Cd 0.500 0.000 0.000
4 Au 0.000 0.000 0.500
5 F 0.500 0.500 0.500

=====

Entry 6:
Here is a relaxed structure of Li2CdAuF from the Alexandria database. Energies are from PBE-GGA.

As for the crystal system: tetragonal. The space group is P4/mmm (123). The calculated total energy is -12.403 eV for the cell shown. The volume comes out at 127.6 Å³ per cell. The calculation puts the magnetic moment at 0.00 μB/f.u.

a = 4.911 Å, b = 4.911 Å, c = 5.291 Å
α = 90.00°, β = 90.00°, γ = 90.00°
Atoms (fractional coordinates):
1 Li 0.000 0.500 0.000
2 Li 0.500 0.000 0.000
3 Cd 0.000 0.000 0.500
4 Au 0.000 0.000 0.000
5 F 0.500 0.500 0.500

=====

Entry 7:
Here is a relaxed structure of CdAuNF2 from the Alexandria database. Energies are from PBE-GGA.

As for the crystal system: tetragonal. Its energy above the most stable polymorph in this dataset is 90 meV/atom. The space group is P4/mmm (123). The calculated total energy is -15.599 eV for the cell shown. The volume comes out at 84.8 Å³ per cell. The calculation puts the magnetic moment at 1.88 μB/f.u.

a = 4.372 Å, b = 4.372 Å, c = 4.437 Å
α = 90.00°, β = 90.00°, γ = 90.00°
Atoms (fractional coordinates):
1 Cd 0.000 0.000 0.000
2 Au 0.500 0.500 0.500
3 N 0.000 0.000 0.500
4 F 0.000 0.500 0.000
5 F 0.500 0.000 0.000

=====

Entry 8:
Here is a relaxed structure of CdAuN2F from the Alexandria database. Energies are from PBE-GGA.

As for the crystal system: tetragonal. Its energy above the most stable polymorph in this dataset is 0 meV/atom. The space group is P4/mmm (123). The calculated total energy is -17.507 eV for the cell shown. The volume comes out at 81.0 Å³ per cell. The calculation puts the magnetic moment at 2.37 μB/f.u.

a = 3.955 Å, b = 3.955 Å, c = 5.179 Å
α = 90.00°, β = 90.00°, γ = 90.00°
Atoms (fractional coordinates):
1 Cd 0.000 0.000 0.000
2 Au 0.500 0.500 0.500
3 N 0.000 0.500 0.500
4 N 0.500 0.000 0.500
5 F 0.500 0.500 0.000

=====

Question: Which formula does entry 2 have?
Answer: CdH2AuF8